Record 1
6
Lattice="3.256 0.000 0.000 0.000 3.832 0.000 0.000 0.000 8.362" Properties=species:S:1:pos:R:3 comment="CrBrO PBEsol relaxed" e_form_raw_ev_per_atom=-1.3451 energy_ev_per_cell=-42.79 pbc="T T T"
Cr 1.628 1.916 3.353
Cr 0.000 0.000 5.009
Br 1.628 0.000 6.841
Br 0.000 1.916 1.521
O 0.000 1.916 4.575
O 1.628 0.000 3.787

=====

Record 2
4
Lattice="3.094 0.000 0.000 0.000 3.161 0.030 0.000 -0.069 8.044" Properties=species:S:1:pos:R:3 comment="Mg2TcBr PBEsol relaxed" e_form_raw_ev_per_atom=0.0198 energy_ev_per_cell=-16.49 pbc="T T T"
Tc 1.547 -0.035 4.022
Mg 0.000 1.562 2.265
Mg 0.000 1.529 5.808
Br 1.547 1.581 0.015

=====

Record 3
5
Lattice="-0.996 3.005 2.609 -3.961 -1.010 -0.348 0.505 -3.391 4.098" Properties=species:S:1:pos:R:3 comment="RbTiAlN2 PBEsol relaxed" e_form_raw_ev_per_atom=0.9894 energy_ev_per_cell=-25.55 pbc="T T T"
N -1.980 -0.505 -0.174
N -0.498 1.503 1.304
Ti 0.000 0.000 0.000
Rb 0.252 -1.695 2.049
Al -2.226 -0.698 3.180

=====

no.,volume (Å³/atom)
1,17.390
2,19.669
3,17.986